(1)
Compound: BaAl2H
Source: the Alexandria database
Functional: GGA-PBE
Structure: optimized geometry

Lattice parameters (Å, degrees): 5.2549 5.2549 5.2549 60.00 60.00 60.00
Closest atoms and distances in Å follow each position.
Positions (direct):
H  0.0000  0.0000  0.0000  8 Al 3.22
Ba  0.5000  0.5000  0.5000  8 Al 3.22
Al  0.2500  0.2500  0.2500  4 Ba 3.22, 4 H 3.22
Al  0.7500  0.7500  0.7500  4 Ba 3.22, 4 H 3.22

## Properties
energy above the most stable polymorph in this dataset = 0.745 eV/atom


(2)
Compound: Pb5Au3
Source: the Alexandria database
Functional: GGA-PBE
Structure: optimized geometry

Lattice parameters (Å, degrees): 4.3805 7.7568 12.8090 90.00 90.00 90.00
Closest atoms and distances in Å follow each position.
Positions (direct):
Pb  0.5000  0.3177  0.3980  4 Au 2.92-3.03
Pb  0.5000  0.8177  0.1020  4 Au 2.92-3.03
Pb  0.0000  0.1728  0.2010  5 Au 2.90-3.20
Pb  0.5000  0.6823  0.6020  4 Au 2.92-3.03
Pb  0.5000  0.1823  0.8980  4 Au 2.92-3.03
Pb  0.0000  0.8272  0.7990  5 Au 2.90-3.20
Pb  0.0000  0.3272  0.7010  5 Au 2.90-3.20
Pb  0.0000  0.5000  0.0000  4 Au 3.17
Pb  0.0000  0.6728  0.2990  5 Au 2.90-3.20
Pb  0.0000  0.0000  0.5000  4 Au 3.17
Au  0.5000  0.5493  0.8241  8 Pb 3.00-3.20
Au  0.0000  0.5000  0.5000  6 Pb 2.90-2.92
Au  0.5000  0.0493  0.6759  8 Pb 3.00-3.20
Au  0.0000  0.0000  0.0000  6 Pb 2.90-2.92
Au  0.5000  0.4507  0.1759  8 Pb 3.00-3.20
Au  0.5000  0.9507  0.3241  8 Pb 3.00-3.20

## Properties
energy of formation from the pure elements = -0.058 eV/atom
energy above the most stable polymorph in this dataset = 0.000 eV/atom


(3)
Compound: BC3
Source: the Alexandria database
Functional: GGA-PBE
Structure: optimized geometry

Lattice parameters (Å, degrees): 8.7432 8.7432 8.7432 16.95 16.95 16.95
Closest atoms and distances in Å follow each position.
Positions (direct):
B  0.1903  0.1903  0.1903  4 C 1.61-1.65
B  0.7472  0.7472  0.7472  4 C 1.61-1.65
C  0.4962  0.4962  0.4962  1 C 1.42
C  0.4413  0.4413  0.4413  1 C 1.42
C  0.2526  0.2526  0.2526  3 C 1.57, 1 B 1.61
C  0.6849  0.6849  0.6849  3 C 1.57, 1 B 1.61
C  0.9993  0.9993  0.9993  4 C 1.57-1.58
C  0.9382  0.9382  0.9382  4 C 1.57-1.58

## Properties
energy of formation from the pure elements = 0.279 eV/atom
energy above the most stable polymorph in this dataset = 0.039 eV/atom


(4)
Compound: Pr5Nd2DyTh
Source: the Alexandria database
Functional: GGA-PBE
Structure: optimized geometry

Lattice parameters (Å, degrees): 5.5064 11.4219 10.6316 90.00 90.00 103.95
Closest atoms and distances in Å follow each position.
Positions (direct):
Pr  0.2770  0.5540  0.3167  2 Pr 3.25, 1 Dy 3.36, 3 Th 3.43-3.59
Pr  0.7230  0.4459  0.1997  2 Pr 3.25, 1 Dy 3.36, 3 Th 3.43-3.59
Pr  0.0012  0.0024  0.5082  2 Dy 3.59, 4 Nd 3.65-3.66, 6 Pr 3.83-3.94
Pr  0.5001  0.0002  0.2583  2 Dy 3.50, 4 Nd 3.72, 6 Pr 3.83-3.89
Pr  0.4999  0.9998  0.7583  2 Dy 3.50, 4 Nd 3.72, 6 Pr 3.83-3.89
Pr  0.2770  0.5541  0.6997  2 Pr 3.25, 1 Dy 3.36, 3 Th 3.43-3.59
Pr  0.3719  0.7438  0.0084  1 Th 3.57, 4 Nd 3.86, 6 Pr 3.89-3.94
Pr  0.9988  0.9976  0.0082  2 Dy 3.59, 4 Nd 3.65-3.66, 6 Pr 3.83-3.94
Pr  0.7230  0.4460  0.8167  2 Pr 3.25, 1 Dy 3.36, 3 Th 3.43-3.59
Pr  0.6281  0.2562  0.5084  1 Th 3.57, 4 Nd 3.86, 6 Pr 3.89-3.94
Dy  0.6024  0.2048  0.0080  6 Pr 3.36-3.59, 2 Th 3.66
Dy  0.3976  0.7952  0.5080  6 Pr 3.36-3.59, 2 Th 3.66
Th  0.7890  0.5779  0.5082  2 Nd 3.41, 7 Pr 3.43-3.59, 2 Dy 3.66
Th  0.2110  0.4221  0.0082  2 Nd 3.41, 7 Pr 3.43-3.59, 2 Dy 3.66
Nd  0.8871  0.7742  0.2611  1 Th 3.41, 7 Pr 3.65-3.73, 2 Dy 3.81
Nd  0.1130  0.2260  0.2554  1 Th 3.41, 7 Pr 3.65-3.73, 2 Dy 3.81
Nd  0.1129  0.2258  0.7611  1 Th 3.41, 7 Pr 3.65-3.73, 2 Dy 3.81
Nd  0.8870  0.7740  0.7554  1 Th 3.41, 7 Pr 3.65-3.73, 2 Dy 3.81

## Properties
energy of formation from the pure elements = 0.133 eV/atom


Calculated volume list, top to bottom, in Å³/cell: 102.6; 435.2; 49.5; 648.9
Density of states at the Fermi level list, top to bottom, in states/eV per cell: 3.309; 4.649; 1.629; 24.866
Mass density list, top to bottom, in g cm⁻³: 3.11; 12.41; 3.14; 7.10